Entry 1:
# TmC (PBE, optimized geometry)
# SG = No. 216
# spin magnetization = 0.04 μB/f.u.
# total energy = -12.8 eV per formula unit
data_TmC
_chemical_formula_sum 'Tm1 C1'
_symmetry_space_group_name_H-M 'P 1'
_symmetry_Int_Tables_number 1
_cell_length_a 3.782
_cell_length_b 3.782
_cell_length_c 3.782
_cell_angle_alpha 60.00
_cell_angle_beta 60.00
_cell_angle_gamma 60.00
loop_
_symmetry_equiv_pos_as_xyz
'x,y,z'
loop_
_atom_site_label
_atom_site_fract_x
_atom_site_fract_y
_atom_site_fract_z
C1 0.000 0.000 0.000
Tm1 0.250 0.250 0.250

=====

Entry 2:
# NbAlCo (PBE, optimized geometry)
# SG = No. 216
# spin magnetization = 0.51 μB/f.u.
# total energy = -19.4 eV per formula unit
data_NbAlCo
_chemical_formula_sum 'Nb1 Al1 Co1'
_symmetry_space_group_name_H-M 'P 1'
_symmetry_Int_Tables_number 1
_cell_length_a 4.187
_cell_length_b 4.187
_cell_length_c 4.187
_cell_angle_alpha 60.00
_cell_angle_beta 60.00
_cell_angle_gamma 60.00
loop_
_symmetry_equiv_pos_as_xyz
'x,y,z'
loop_
_atom_site_label
_atom_site_fract_x
_atom_site_fract_y
_atom_site_fract_z
Al1 0.250 0.250 0.250
Co1 0.750 0.750 0.750
Nb1 0.000 0.000 0.000

=====

Entry 3:
# LaNdFe2Ge2C (PBE, optimized geometry)
# SG = No. 8
# spin magnetization = 0.02 μB/f.u.
# total energy = -48.6 eV per formula unit
data_LaNdFe2Ge2C
_chemical_formula_sum 'La1 Nd1 Fe2 Ge2 C1'
_symmetry_space_group_name_H-M 'P 1'
_symmetry_Int_Tables_number 1
_cell_length_a 5.881
_cell_length_b 5.881
_cell_length_c 7.148
_cell_angle_alpha 126.41
_cell_angle_beta 126.41
_cell_angle_gamma 40.65
loop_
_symmetry_equiv_pos_as_xyz
'x,y,z'
loop_
_atom_site_label
_atom_site_fract_x
_atom_site_fract_y
_atom_site_fract_z
Fe1 0.809 0.809 0.917
Fe2 0.191 0.191 0.083
C1 0.001 0.001 0.005
Nd1 0.557 0.557 0.292
La1 0.441 0.441 0.704
Ge1 0.826 0.826 0.266
Ge2 0.173 0.173 0.732

=====

Entry 4:
# LiPd2Pb (PBE, optimized geometry)
# SG = No. 123
# total energy = -17.6 eV per formula unit
data_LiPd2Pb
_chemical_formula_sum 'Li4 Pd8 Pb4'
_symmetry_space_group_name_H-M 'P 1'
_symmetry_Int_Tables_number 1
_cell_length_a 5.886
_cell_length_b 5.885
_cell_length_c 7.879
_cell_angle_alpha 90.00
_cell_angle_beta 90.00
_cell_angle_gamma 90.00
loop_
_symmetry_equiv_pos_as_xyz
'x,y,z'
loop_
_atom_site_label
_atom_site_fract_x
_atom_site_fract_y
_atom_site_fract_z
Pd1 0.000 0.500 0.250
Pd2 0.000 0.000 0.750
Pd3 0.500 0.500 0.750
Pd4 0.000 0.000 0.250
Pd5 0.500 0.000 0.750
Pd6 0.500 0.500 0.250
Pd7 0.500 0.000 0.250
Pd8 0.000 0.500 0.750
Pb1 0.250 0.750 0.500
Pb2 0.750 0.250 0.000
Pb3 0.250 0.750 0.000
Pb4 0.750 0.250 0.500
Li1 0.750 0.750 0.500
Li2 0.250 0.250 0.000
Li3 0.750 0.750 0.000
Li4 0.250 0.250 0.500

=====

Entry 5:
# Nd2Sn2Pt3Au (PBE, optimized geometry)
# SG = No. 156
# spin magnetization = 0.00 μB/f.u.
# total energy = -46.0 eV per formula unit
data_Nd2Sn2Pt3Au
_chemical_formula_sum 'Nd2 Sn2 Pt3 Au1'
_symmetry_space_group_name_H-M 'P 1'
_symmetry_Int_Tables_number 1
_cell_length_a 4.665
_cell_length_b 4.665
_cell_length_c 9.359
_cell_angle_alpha 90.00
_cell_angle_beta 90.00
_cell_angle_gamma 120.00
loop_
_symmetry_equiv_pos_as_xyz
'x,y,z'
loop_
_atom_site_label
_atom_site_fract_x
_atom_site_fract_y
_atom_site_fract_z
Nd1 0.333 0.667 0.748
Nd2 0.667 0.333 0.258
Pt1 0.667 0.333 0.585
Pt2 0.667 0.333 0.913
Pt3 0.333 0.667 0.414
Au1 0.333 0.667 0.098
Sn1 0.000 0.000 0.980
Sn2 0.000 0.000 0.504

=====

Entry 6:
# Ta2AgSn (PBE, optimized geometry)
# SG = No. 216
# spin magnetization = 0.00 μB/f.u.
# total energy = -28.7 eV per formula unit
data_Ta2AgSn
_chemical_formula_sum 'Ta2 Ag1 Sn1'
_symmetry_space_group_name_H-M 'P 1'
_symmetry_Int_Tables_number 1
_cell_length_a 4.757
_cell_length_b 4.757
_cell_length_c 4.757
_cell_angle_alpha 60.00
_cell_angle_beta 60.00
_cell_angle_gamma 60.00
loop_
_symmetry_equiv_pos_as_xyz
'x,y,z'
loop_
_atom_site_label
_atom_site_fract_x
_atom_site_fract_y
_atom_site_fract_z
Ag1 0.250 0.250 0.250
Sn1 0.500 0.500 0.500
Ta1 0.000 0.000 0.000
Ta2 0.750 0.750 0.750

=====

Entry 7:
# Dy2Y4LuNi2Te2 (PBE, optimized geometry)
# SG = No. 44
# energy relative to the lowest polymorph listed for this composition = 0 meV/atom
# spin magnetization = 0.02 μB/f.u.
# total energy = -64.4 eV per formula unit
data_Dy2Y4LuNi2Te2
_chemical_formula_sum 'Dy2 Y4 Lu1 Ni2 Te2'
_symmetry_space_group_name_H-M 'P 1'
_symmetry_Int_Tables_number 1
_cell_length_a 9.356
_cell_length_b 9.356
_cell_length_c 9.356
_cell_angle_alpha 156.28
_cell_angle_beta 66.93
_cell_angle_gamma 118.45
loop_
_symmetry_equiv_pos_as_xyz
'x,y,z'
loop_
_atom_site_label
_atom_site_fract_x
_atom_site_fract_y
_atom_site_fract_z
Te1 0.142 0.142 0.000
Te2 0.741 0.241 0.500
Lu1 0.477 0.477 0.000
Dy1 0.781 0.096 0.684
Dy2 0.412 0.096 0.316
Ni1 0.168 0.406 0.762
Ni2 0.644 0.406 0.238
Y1 0.392 0.746 0.646
Y2 0.026 0.895 0.131
Y3 0.100 0.746 0.354
Y4 0.764 0.895 0.869

=====

Entry 8:
# Y2Tm2CBr5 (PBE, optimized geometry)
# SG = No. 12
# spin magnetization = 0.13 μB/f.u.
# total energy = -53.6 eV per formula unit
data_Y2Tm2CBr5
_chemical_formula_sum 'Y2 Tm2 C1 Br5'
_symmetry_space_group_name_H-M 'P 1'
_symmetry_Int_Tables_number 1
_cell_length_a 9.102
_cell_length_b 9.102
_cell_length_c 8.117
_cell_angle_alpha 102.42
_cell_angle_beta 102.42
_cell_angle_gamma 24.10
loop_
_symmetry_equiv_pos_as_xyz
'x,y,z'
loop_
_atom_site_label
_atom_site_fract_x
_atom_site_fract_y
_atom_site_fract_z
Br1 0.171 0.171 0.835
Br2 0.165 0.165 0.332
Br3 0.500 0.500 0.500
Br4 0.829 0.829 0.165
Br5 0.835 0.835 0.668
Tm1 0.365 0.365 0.931
Tm2 0.635 0.635 0.069
Y1 0.999 0.999 0.202
Y2 0.001 0.001 0.798
C1 0.500 0.500 0.000

=====

Entry 9:
# SmYSb2 (PBE, optimized geometry)
# SG = No. 123
# spin magnetization = 0.00 μB/f.u.
# total energy = -24.1 eV per formula unit
data_SmYSb2
_chemical_formula_sum 'Sm1 Y1 Sb2'
_symmetry_space_group_name_H-M 'P 1'
_symmetry_Int_Tables_number 1
_cell_length_a 4.430
_cell_length_b 4.430
_cell_length_c 6.265
_cell_angle_alpha 90.00
_cell_angle_beta 90.00
_cell_angle_gamma 90.00
loop_
_symmetry_equiv_pos_as_xyz
'x,y,z'
loop_
_atom_site_label
_atom_site_fract_x
_atom_site_fract_y
_atom_site_fract_z
Y1 0.500 0.500 0.500
Sb1 0.000 0.000 0.500
Sb2 0.500 0.500 0.000
Sm1 0.000 0.000 0.000

=====

Entry 10:
# SmDyI2O2 (PBE, optimized geometry)
# SG = No. 99
# spin magnetization = 0.01 μB/f.u.
# total energy = -38.6 eV per formula unit
data_SmDyI2O2
_chemical_formula_sum 'Sm1 Dy1 I2 O2'
_symmetry_space_group_name_H-M 'P 1'
_symmetry_Int_Tables_number 1
_cell_length_a 3.970
_cell_length_b 3.970
_cell_length_c 9.298
_cell_angle_alpha 90.00
_cell_angle_beta 90.00
_cell_angle_gamma 90.00
loop_
_symmetry_equiv_pos_as_xyz
'x,y,z'
loop_
_atom_site_label
_atom_site_fract_x
_atom_site_fract_y
_atom_site_fract_z
I1 0.500 0.500 0.678
I2 0.000 0.000 0.326
O1 0.000 0.500 0.996
O2 0.500 0.000 0.996
Sm1 0.500 0.500 0.122
Dy1 0.000 0.000 0.881

=====

Entry 11:
# Pr2B4IrPd4 (PBE, optimized geometry)
# SG = No. 69
# spin magnetization = 0.02 μB/f.u.
# total energy = -70.0 eV per formula unit
data_Pr2B4IrPd4
_chemical_formula_sum 'Pr2 B4 Ir1 Pd4'
_symmetry_space_group_name_H-M 'P 1'
_symmetry_Int_Tables_number 1
_cell_length_a 7.775
_cell_length_b 6.499
_cell_length_c 5.764
_cell_angle_alpha 78.44
_cell_angle_beta 54.98
_cell_angle_gamma 46.58
loop_
_symmetry_equiv_pos_as_xyz
'x,y,z'
loop_
_atom_site_label
_atom_site_fract_x
_atom_site_fract_y
_atom_site_fract_z
Pr1 0.853 0.853 0.147
Pr2 0.147 0.147 0.853
Pd1 0.500 0.500 0.000
Pd2 0.250 0.250 0.250
Pd3 0.750 0.750 0.750
Pd4 0.000 0.000 0.500
B1 0.781 0.481 0.519
B2 0.219 0.519 0.481
B3 0.481 0.781 0.219
B4 0.519 0.219 0.781
Ir1 0.500 0.500 0.500

=====

Entry 12:
# Ho4SnB2Pb (PBE, optimized geometry)
# SG = No. 187
# spin magnetization = 0.06 μB/f.u.
# total energy = -41.2 eV per formula unit
data_Ho4SnB2Pb
_chemical_formula_sum 'Ho4 Sn1 B2 Pb1'
_symmetry_space_group_name_H-M 'P 1'
_symmetry_Int_Tables_number 1
_cell_length_a 3.656
_cell_length_b 3.656
_cell_length_c 16.535
_cell_angle_alpha 90.00
_cell_angle_beta 90.00
_cell_angle_gamma 120.00
loop_
_symmetry_equiv_pos_as_xyz
'x,y,z'
loop_
_atom_site_label
_atom_site_fract_x
_atom_site_fract_y
_atom_site_fract_z
Sn1 0.333 0.667 0.500
Ho1 0.333 0.667 0.838
Ho2 0.333 0.667 0.162
Ho3 0.000 0.000 0.344
Ho4 0.000 0.000 0.656
Pb1 0.000 0.000 0.000
B1 0.667 0.333 0.748
B2 0.667 0.333 0.252

=====

Entry 13:
# Ho2TmFe6Co3 (PBE, optimized geometry)
# SG = No. 166
# spin magnetization = 16.33 μB/f.u.
# total energy = -86.4 eV per formula unit
# ΔH_f (0 K) = -13 kJ/mol of atoms
data_Ho2TmFe6Co3
_chemical_formula_sum 'Ho2 Tm1 Fe6 Co3'
_symmetry_space_group_name_H-M 'P 1'
_symmetry_Int_Tables_number 1
_cell_length_a 8.597
_cell_length_b 8.597
_cell_length_c 8.597
_cell_angle_alpha 33.98
_cell_angle_beta 33.98
_cell_angle_gamma 33.98
loop_
_symmetry_equiv_pos_as_xyz
'x,y,z'
loop_
_atom_site_label
_atom_site_fract_x
_atom_site_fract_y
_atom_site_fract_z
Ho1 0.858 0.858 0.858
Ho2 0.142 0.142 0.142
Fe1 0.582 0.582 0.081
Fe2 0.418 0.418 0.919
Fe3 0.081 0.582 0.582
Fe4 0.919 0.418 0.418
Fe5 0.582 0.081 0.582
Fe6 0.418 0.919 0.418
Co1 0.667 0.667 0.667
Co2 0.500 0.500 0.500
Co3 0.333 0.333 0.333
Tm1 0.000 0.000 0.000

=====

Entry 14:
# HoLuS2Br2 (PBE, optimized geometry)
# SG = No. 25
# spin magnetization = 0.00 μB/f.u.
# total energy = -32.7 eV per formula unit
data_HoLuS2Br2
_chemical_formula_sum 'Ho1 Lu1 S2 Br2'
_symmetry_space_group_name_H-M 'P 1'
_symmetry_Int_Tables_number 1
_cell_length_a 3.994
_cell_length_b 5.308
_cell_length_c 9.008
_cell_angle_alpha 90.00
_cell_angle_beta 90.00
_cell_angle_gamma 90.00
loop_
_symmetry_equiv_pos_as_xyz
'x,y,z'
loop_
_atom_site_label
_atom_site_fract_x
_atom_site_fract_y
_atom_site_fract_z
Lu1 0.000 0.500 0.875
Br1 0.000 0.000 0.345
Br2 0.500 0.500 0.662
S1 0.000 0.000 0.918
S2 0.500 0.500 0.075
Ho1 0.500 0.000 0.125

=====

Entry 15:
# SnPd9 (PBE, optimized geometry)
# SG = No. 129
# energy relative to the lowest polymorph listed for this composition = 40 meV/atom
# total energy = -50.7 eV per formula unit
data_SnPd9
_chemical_formula_sum 'Sn2 Pd18'
_symmetry_space_group_name_H-M 'P 1'
_symmetry_Int_Tables_number 1
_cell_length_a 2.857
_cell_length_b 2.857
_cell_length_c 49.722
_cell_angle_alpha 90.00
_cell_angle_beta 90.00
_cell_angle_gamma 90.00
loop_
_symmetry_equiv_pos_as_xyz
'x,y,z'
loop_
_atom_site_label
_atom_site_fract_x
_atom_site_fract_y
_atom_site_fract_z
Pd1 0.500 0.000 0.407
Pd2 0.000 0.500 0.519
Pd3 0.000 0.500 0.593
Pd4 0.000 0.500 0.219
Pd5 0.500 0.000 0.705
Pd6 0.000 0.500 0.820
Pd7 0.500 0.000 0.781
Pd8 0.000 0.500 0.369
Pd9 0.500 0.000 0.257
Pd10 0.500 0.000 0.481
Pd11 0.000 0.500 0.295
Pd12 0.500 0.000 0.556
Pd13 0.000 0.500 0.743
Pd14 0.500 0.000 0.180
Pd15 0.500 0.000 0.332
Pd16 0.000 0.500 0.444
Pd17 0.000 0.500 0.668
Pd18 0.500 0.000 0.631
Sn1 0.000 0.500 0.139
Sn2 0.500 0.000 0.861

=====

Entry 16:
# CoCuSiPb (PBE, optimized geometry)
# SG = No. 216
# energy relative to the lowest polymorph listed for this composition = 0 meV/atom
# spin magnetization = 0.00 μB/f.u.
# total energy = -18.0 eV per formula unit
data_CoCuSiPb
_chemical_formula_sum 'Co1 Cu1 Si1 Pb1'
_symmetry_space_group_name_H-M 'P 1'
_symmetry_Int_Tables_number 1
_cell_length_a 4.445
_cell_length_b 4.445
_cell_length_c 4.445
_cell_angle_alpha 60.00
_cell_angle_beta 60.00
_cell_angle_gamma 60.00
loop_
_symmetry_equiv_pos_as_xyz
'x,y,z'
loop_
_atom_site_label
_atom_site_fract_x
_atom_site_fract_y
_atom_site_fract_z
Si1 0.000 0.000 0.000
Cu1 0.750 0.750 0.750
Co1 0.250 0.250 0.250
Pb1 0.500 0.500 0.500

=====

Entry 17:
# PrErZn2Pb2 (PBE, optimized geometry)
# SG = No. 194
# energy relative to the lowest polymorph listed for this composition = 0 meV/atom
# spin magnetization = 0.00 μB/f.u.
# total energy = -21.9 eV per formula unit
data_PrErZn2Pb2
_chemical_formula_sum 'Pr2 Er2 Zn4 Pb4'
_symmetry_space_group_name_H-M 'P 1'
_symmetry_Int_Tables_number 1
_cell_length_a 4.611
_cell_length_b 4.611
_cell_length_c 16.359
_cell_angle_alpha 90.00
_cell_angle_beta 90.00
_cell_angle_gamma 120.00
loop_
_symmetry_equiv_pos_as_xyz
'x,y,z'
loop_
_atom_site_label
_atom_site_fract_x
_atom_site_fract_y
_atom_site_fract_z
Pr1 0.000 0.000 0.500
Pr2 0.000 0.000 0.000
Pb1 0.667 0.333 0.616
Pb2 0.667 0.333 0.884
Pb3 0.333 0.667 0.116
Pb4 0.333 0.667 0.384
Zn1 0.667 0.333 0.168
Zn2 0.333 0.667 0.832
Zn3 0.667 0.333 0.332
Zn4 0.333 0.667 0.668
Er1 0.000 0.000 0.750
Er2 0.000 0.000 0.250

=====

Entry 18:
# CsPrLuTe3 (PBE, optimized geometry)
# SG = No. 63
# energy relative to the lowest polymorph listed for this composition = 83 meV/atom
# spin magnetization = 0.36 μB/f.u.
# total energy = -26.6 eV per formula unit
data_CsPrLuTe3
_chemical_formula_sum 'Cs2 Pr2 Lu2 Te6'
_symmetry_space_group_name_H-M 'P 1'
_symmetry_Int_Tables_number 1
_cell_length_a 9.180
_cell_length_b 9.180
_cell_length_c 10.982
_cell_angle_alpha 90.00
_cell_angle_beta 90.00
_cell_angle_gamma 147.52
loop_
_symmetry_equiv_pos_as_xyz
'x,y,z'
loop_
_atom_site_label
_atom_site_fract_x
_atom_site_fract_y
_atom_site_fract_z
Te1 0.610 0.390 0.971
Te2 0.390 0.610 0.471
Te3 0.910 0.090 0.750
Te4 0.610 0.390 0.529
Te5 0.390 0.610 0.029
Te6 0.090 0.910 0.250
Pr1 0.501 0.499 0.250
Pr2 0.499 0.501 0.750
Cs1 0.236 0.764 0.750
Cs2 0.764 0.236 0.250
Lu1 0.000 0.000 0.500
Lu2 0.000 0.000 0.000

=====

Entry 19:
# HfMg (PBE, optimized geometry)
# SG = No. 187
# spin magnetization = 0.01 μB/f.u.
# total energy = -11.2 eV per formula unit
data_HfMg
_chemical_formula_sum 'Hf1 Mg1'
_symmetry_space_group_name_H-M 'P 1'
_symmetry_Int_Tables_number 1
_cell_length_a 3.037
_cell_length_b 3.037
_cell_length_c 5.438
_cell_angle_alpha 90.00
_cell_angle_beta 90.00
_cell_angle_gamma 120.00
loop_
_symmetry_equiv_pos_as_xyz
'x,y,z'
loop_
_atom_site_label
_atom_site_fract_x
_atom_site_fract_y
_atom_site_fract_z
Hf1 0.667 0.333 0.750
Mg1 0.333 0.667 0.250

=====

Entry 20:
# CdIn2Ag (PBE, optimized geometry)
# SG = No. 216
# total energy = -8.9 eV per formula unit
data_CdIn2Ag
_chemical_formula_sum 'Cd1 In2 Ag1'
_symmetry_space_group_name_H-M 'P 1'
_symmetry_Int_Tables_number 1
_cell_length_a 5.107
_cell_length_b 5.107
_cell_length_c 5.107
_cell_angle_alpha 60.00
_cell_angle_beta 60.00
_cell_angle_gamma 60.00
loop_
_symmetry_equiv_pos_as_xyz
'x,y,z'
loop_
_atom_site_label
_atom_site_fract_x
_atom_site_fract_y
_atom_site_fract_z
In1 0.500 0.500 0.500
In2 0.250 0.250 0.250
Ag1 0.000 0.000 0.000
Cd1 0.750 0.750 0.750